Below is a relaxed structure of P2OsRuCl, with properties calculated at the PBE-GGA level.

Summary:
- Magnetization: 0.480 μB per atom
- Formation energy from raw total energies: 1339 meV per atom
- ΔE to the lowest computed polymorph: 1.05 eV/f.u.

Cell lengths 4.530, 4.530, 4.723 Å; angles 90.00, 90.00, 90.00 degrees
Space group P4/mmm (No. 123)
Symmetry-distinct sites (fractional):
P1 0.000 0.500 0.000 x2
Os1 0.000 0.000 0.500 x1
Ru1 0.500 0.500 0.000 x1
Cl1 0.500 0.500 0.500 x1